Material: ZrHPtRh2
Method: DFT, GGA-PBE
State: relaxed

Unit cell a=4.0704 b=4.0704 c=3.9810 alpha=90.00 beta=90.00 gamma=90.00
With the nearest neighbours (Å) after each atom.
Space group P4/mmm (No. 123)
Symmetry-distinct sites (fractional):
Zr  0.0000  0.0000  0.0000 [1 per cell]  8 Rh 2.85, 4 Pt 2.88
H  0.5000  0.5000  0.5000 [1 per cell]  2 Pt 1.99, 4 Rh 2.04
Pt  0.5000  0.5000  0.0000 [1 per cell]  2 H 1.99
Rh  0.0000  0.5000  0.5000 [2 per cell]  2 H 2.04

Properties
The value obtained for the total magnetization is 0.0 μB/f.u. The calculation puts the calculated volume at 65.96 Å³/cell. The value obtained for the electronic total energy is -36.04 eV for the cell shown. Its density is 12.415 Mg/m³.